[1]
CuIr2Rh7 | Alexandria via LeMat-Bulk | PBE | relaxed; excess energy over the best structure of this formula in the dataset = 0.2559 eV per atom; DFT formation energy = 682 meV/atom; E_tot = -66.5 eV/f.u.
1.0
3.932 0.000 0.000
0.000 7.356 -0.448
0.000 -3.647 6.404
Rh Ir Cu
7 2 1
direct
0.500 0.500 0.500 Rh
0.500 0.084 0.291 Rh
0.000 0.193 0.807 Rh
0.500 0.916 0.709 Rh
0.000 0.807 0.193 Rh
0.500 0.291 0.084 Rh
0.500 0.709 0.916 Rh
0.500 0.697 0.303 Ir
0.500 0.303 0.697 Ir
0.000 0.000 0.000 Cu

[2]
CuIr2Rh | Alexandria via LeMat-Bulk | PBE | relaxed; excess energy over the best structure of this formula in the dataset = 0.0545 eV per atom; DFT formation energy = 97 meV/atom; E_tot = -28.8 eV/f.u.
1.0
-1.126 1.859 1.646
-2.479 -0.942 -0.633
0.375 -4.825 5.707
Ir Cu Rh
2 1 1
direct
0.000 0.000 0.997 Ir
0.000 0.000 0.503 Ir
0.500 0.500 0.750 Cu
0.500 0.500 0.250 Rh

[3]
CuIrRh | Alexandria via LeMat-Bulk | PBE | relaxed; excess energy over the best structure of this formula in the dataset = 0.5474 eV per atom; DFT formation energy = 560 meV/atom; E_tot = -18.6 eV/f.u.
1.0
4.123 0.000 0.000
2.062 3.571 0.000
2.062 1.190 3.367
Ir Cu Rh
1 1 1
direct
0.750 0.750 0.750 Ir
0.500 0.500 0.500 Cu
0.000 0.000 0.000 Rh